Record 1
PmNd6Y2 after structural relaxation, computed with PBE.

Values from the calculation:
E, eV per atom: -5.00
D(E_F), states/eV/f.u.: 14.33
Volume, Å³ per atom: 34.90

a = 8.956 Å, b = 8.956 Å, c = 8.997 Å
α = 94.67°, β = 94.67°, γ = 60.97°
Fractional positions:
Pm: 0.090 0.910 0.750
Pm: 0.910 0.090 0.250
Nd: 0.097 0.631 0.992
Nd: 0.111 0.697 0.372
Nd: 0.303 0.889 0.128
Nd: 0.331 0.460 0.659
Nd: 0.369 0.903 0.508
Nd: 0.460 0.331 0.159
Nd: 0.540 0.669 0.841
Nd: 0.631 0.097 0.492
Nd: 0.669 0.540 0.341
Nd: 0.697 0.111 0.872
Nd: 0.889 0.303 0.628
Nd: 0.903 0.369 0.008
Y: 0.147 0.302 0.341
Y: 0.302 0.147 0.841
Y: 0.698 0.853 0.159
Y: 0.853 0.698 0.659

Record 2
PmNd2Y8 after structural relaxation, computed with PBE.

Values from the calculation:
E, eV per atom: -5.85
D(E_F), states/eV/f.u.: 19.05
Volume, Å³ per atom: 34.52

a = 10.186 Å, b = 10.186 Å, c = 5.631 Å
α = 92.75°, β = 92.75°, γ = 40.60°
Fractional positions:
Pm: 0.000 0.000 0.000
Nd: 0.284 0.284 0.750
Nd: 0.716 0.716 0.250
Y: 0.135 0.604 0.269
Y: 0.186 0.186 0.233
Y: 0.396 0.865 0.731
Y: 0.453 0.453 0.764
Y: 0.547 0.547 0.236
Y: 0.604 0.135 0.269
Y: 0.814 0.814 0.767
Y: 0.865 0.396 0.731

Record 3
PmNd2Y4 after structural relaxation, computed with PBE.

Values from the calculation:
E, eV per atom: -5.59
D(E_F), states/eV/f.u.: 10.74
Volume, Å³ per atom: 33.76

a = 5.688 Å, b = 5.688 Å, c = 16.841 Å
α = 90.00°, β = 90.00°, γ = 119.82°
Fractional positions:
Pm: 0.002 0.998 0.750
Pm: 0.998 0.002 0.250
Nd: 0.335 0.665 0.557
Nd: 0.335 0.665 0.943
Nd: 0.665 0.335 0.057
Nd: 0.665 0.335 0.443
Y: 0.000 0.000 0.000
Y: 0.000 0.000 0.500
Y: 0.332 0.668 0.147
Y: 0.332 0.668 0.353
Y: 0.335 0.665 0.750
Y: 0.665 0.335 0.250
Y: 0.668 0.332 0.647
Y: 0.668 0.332 0.853

Record 4
Pm9Nd11Y4 after structural relaxation, computed with PBE.

Values from the calculation:
E, eV per atom: -4.99
D(E_F), states/eV/f.u.: 34.26
Volume, Å³ per atom: 34.88

a = 15.962 Å, b = 15.962 Å, c = 3.671 Å
α = 90.00°, β = 90.00°, γ = 116.46°
Fractional positions:
Pm: 0.000 0.000 0.000
Pm: 0.110 0.677 0.000
Pm: 0.296 0.483 0.000
Pm: 0.323 0.890 0.000
Pm: 0.483 0.296 0.000
Pm: 0.517 0.704 0.000
Pm: 0.677 0.110 0.000
Pm: 0.704 0.517 0.000
Pm: 0.890 0.323 0.000
Nd: 0.097 0.466 0.500
Nd: 0.119 0.881 0.500
Nd: 0.284 0.284 0.500
Nd: 0.312 0.688 0.500
Nd: 0.466 0.097 0.500
Nd: 0.500 0.500 0.500
Nd: 0.534 0.903 0.500
Nd: 0.688 0.312 0.500
Nd: 0.716 0.716 0.500
Nd: 0.881 0.119 0.500
Nd: 0.903 0.534 0.500
Y: 0.085 0.263 0.000
Y: 0.263 0.085 0.000
Y: 0.737 0.915 0.000
Y: 0.915 0.737 0.000

no.,DFT formation energy (meV per atom)
1,145
2,154
3,140
4,51